Record 1
Below is a relaxed structure of Na4CdIn, with properties calculated at the PBE-GGA level.

The space group is P2_1/m (No. 11) and the conventional cell measures 5.6976, 7.2153 and 8.4516 Å, with angles of 90.00, 98.93 and 90.00 degrees. The inequivalent atoms are Na at (0.0013, 0.2500, 0.4901), Na at (0.1943, 0.5037, 0.8497), Na at (0.3289, 0.7500, 0.1884), Cd at (0.3253, 0.2500, 0.1910) and In at (0.5000, 0.0000, 0.5000).

The formation energy is -0.057 eV/atom. For the energy relative to the lowest polymorph listed for this composition, the calculation gives 0 meV/atom.

***

Record 2
Below is a relaxed structure of Na3Cd12In5, with properties calculated at the PBE-GGA level.

The space group is Ia-3d (No. 230) and the conventional cell measures 17.2651, 17.2651 and 17.2651 Å, with angles of 90.00, 90.00 and 90.00 degrees. The inequivalent atoms are Na at (0.0000, 0.2500, 0.1250), Cd at (0.0072, 0.0755, 0.6543), In at (0.0000, 0.0000, 0.0000) and In at (0.0000, 0.2500, 0.3750).

The formation energy is 0.218 eV/atom.

***

Record 3
Below is a relaxed structure of NaCd2In, with properties calculated at the PBE-GGA level.

The space group is Immm (No. 71) and the conventional cell measures 3.0708, 5.6218 and 12.6095 Å, with angles of 90.00, 90.00 and 90.00 degrees. The inequivalent atoms are Na at (0.0000, 0.0000, 0.0000), Cd at (0.0000, 0.0000, 0.2616) and In at (0.0000, 0.0000, 0.5000).

The formation energy is 0.072 eV/atom.

***

Record 4
Below is a relaxed structure of Na7Cd4In, with properties calculated at the PBE-GGA level.

The space group is P-3m1 (No. 164) and the conventional cell measures 5.3495, 5.3495 and 13.2409 Å, with angles of 90.00, 90.00 and 120.00 degrees. The inequivalent atoms are Na at (0.0000, 0.0000, 0.0000), Na at (0.0000, 0.0000, 0.2550), Na at (0.3333, 0.6667, 0.0895), Na at (0.3333, 0.6667, 0.3608), Cd at (0.3333, 0.6667, 0.6021), Cd at (0.3333, 0.6667, 0.8323) and In at (0.0000, 0.0000, 0.5000).

The formation energy is -0.061 eV/atom.

***

Record 5
Below is a relaxed structure of Na2CdIn3, with properties calculated at the PBE-GGA level.

The space group is Pmma (No. 51) and the conventional cell measures 5.9845, 6.3311 and 8.7141 Å, with angles of 90.00, 90.00 and 90.00 degrees. The inequivalent atoms are Na at (0.2500, 0.0000, 0.0828), Na at (0.2500, 0.5000, 0.3639), Cd at (0.2500, 0.0000, 0.4319), In at (0.0000, 0.5000, 0.0000) and In at (0.2500, 0.2480, 0.7313).

The formation energy is -0.052 eV/atom. For the energy relative to the lowest polymorph listed for this composition, the calculation gives 65 meV/atom.

***

Record 6
Below is a relaxed structure of Na2Cd6In, with properties calculated at the PBE-GGA level.

The space group is C2/m (No. 12) and the conventional cell measures 10.8936, 6.2835 and 6.7890 Å, with angles of 90.00, 90.07 and 90.00 degrees. The inequivalent atoms are Na at (0.1665, 0.0000, 0.1254), Cd at (0.0884, 0.2349, 0.6670), Cd at (0.1770, 0.5000, 0.3334) and In at (0.0000, 0.5000, 0.0000).

The formation energy is -0.072 eV/atom. For the energy relative to the lowest polymorph listed for this composition, the calculation gives 0 meV/atom.

***

Record 7
Below is a relaxed structure of NaCd4In6, with properties calculated at the PBE-GGA level.

The space group is Cm (No. 8) and the conventional cell measures 10.3112, 9.6906 and 6.2886 Å, with angles of 90.00, 111.80 and 90.00 degrees. The inequivalent atoms are Na at (0.0000, 0.0000, 0.0000), Cd at (0.3413, 0.0000, 0.3066), Cd at (0.3698, 0.5000, 0.4213), Cd at (0.4199, 0.2172, 0.7202), In at (0.0617, 0.2580, 0.3357), In at (0.1621, 0.5000, 0.6707), In at (0.1965, 0.0000, 0.6860) and In at (0.2389, 0.2687, 0.0306).

The formation energy is 0.019 eV/atom. For the energy relative to the lowest polymorph listed for this composition, the calculation gives 13 meV/atom.

***

Record 8
Below is a relaxed structure of NaCd2In8, with properties calculated at the PBE-GGA level.

The space group is C2/m (No. 12) and the conventional cell measures 16.6878, 4.7226 and 7.6415 Å, with angles of 90.00, 107.36 and 90.00 degrees. The inequivalent atoms are Na at (0.0000, 0.0000, 0.0000), Cd at (0.2271, 0.5000, 0.6329), In at (0.0481, 0.5000, 0.7278), In at (0.0939, 0.0000, 0.4580), In at (0.1418, 0.5000, 0.1885) and In at (0.1819, 0.0000, 0.9112).

The formation energy is -0.022 eV/atom. For the energy relative to the lowest polymorph listed for this composition, the calculation gives 0 meV/atom.

***

Record 9
Below is a relaxed structure of Na7Cd3In, with properties calculated at the PBE-GGA level.

The space group is P3m1 (No. 156) and the conventional cell measures 7.0379, 7.0379 and 7.9109 Å, with angles of 90.00, 90.00 and 120.00 degrees. The inequivalent atoms are Na at (0.0000, 0.0000, 0.0000), Na at (0.1682, 0.3363, 0.6067), Na at (0.5019, 0.0038, 0.9778), Cd at (0.3490, 0.1745, 0.3018) and In at (0.6667, 0.3333, 0.6247).

The formation energy is 0.012 eV/atom. For the energy relative to the lowest polymorph listed for this composition, the calculation gives 71 meV/atom.

***

Record 10
Below is a relaxed structure of NaCd4In2, with properties calculated at the PBE-GGA level.

The space group is Cmmm (No. 65) and the conventional cell measures 5.1971, 19.7174 and 3.3780 Å, with angles of 90.00, 90.00 and 90.00 degrees. The inequivalent atoms are Na at (0.0000, 0.0000, 0.0000), Cd at (0.0000, 0.1534, 0.5000), Cd at (0.0000, 0.2889, 0.0000) and In at (0.0000, 0.4237, 0.5000).

The formation energy is -0.038 eV/atom. For the energy relative to the lowest polymorph listed for this composition, the calculation gives 0 meV/atom.

***

Record 11
Below is a relaxed structure of Na2CdIn4, with properties calculated at the PBE-GGA level.

The space group is C2/m (No. 12) and the conventional cell measures 10.7264, 6.0503 and 8.1342 Å, with angles of 90.00, 130.10 and 90.00 degrees. The inequivalent atoms are Na at (0.1447, 0.0000, 0.2876), Cd at (0.0000, 0.5000, 0.0000), In at (0.0000, 0.2501, 0.5000) and In at (0.2500, 0.2500, 0.0000).

The formation energy is -0.005 eV/atom. For the energy relative to the lowest polymorph listed for this composition, the calculation gives 0 meV/atom.

***

Record 12
Below is a relaxed structure of NaCdIn14, with properties calculated at the PBE-GGA level.

The space group is P4/mmm (No. 123) and the conventional cell measures 7.3291, 7.3291 and 8.0426 Å, with angles of 90.00, 90.00 and 90.00 degrees. The inequivalent atoms are Na at (0.0000, 0.0000, 0.0000), Cd at (0.5000, 0.5000, 0.0000), In at (0.0000, 0.0000, 0.5000), In at (0.0000, 0.5000, 0.0000), In at (0.0000, 0.5000, 0.5000), In at (0.2542, 0.2542, 0.2483) and In at (0.5000, 0.5000, 0.5000).

The formation energy is 0.000 eV/atom.

***

Record 13
Below is a relaxed structure of Na5CdIn6, with properties calculated at the PBE-GGA level.

The space group is C2/m (No. 12) and the conventional cell measures 5.8892, 10.2407 and 10.9492 Å, with angles of 90.00, 101.01 and 90.00 degrees. The inequivalent atoms are Na at (0.0000, 0.0000, 0.0000), Na at (0.0000, 0.1664, 0.5000), Na at (0.0000, 0.3328, 0.0000), Cd at (0.0000, 0.5000, 0.5000), In at (0.2459, 0.3358, 0.7461) and In at (0.2481, 0.5000, 0.2536).

The formation energy is -0.067 eV/atom.

***

Record 14
Below is a relaxed structure of NaCd14In, with properties calculated at the PBE-GGA level.

The space group is Amm2 (No. 38) and the conventional cell measures 10.9593, 6.1600 and 10.9007 Å, with angles of 90.00, 90.00 and 90.00 degrees. The inequivalent atoms are Na at (0.0000, 0.0000, 0.0000), Cd at (0.0000, 0.2495, 0.7485), Cd at (0.2475, 0.0000, 0.1859), Cd at (0.2475, 0.0000, 0.6885), Cd at (0.2557, 0.2498, 0.4372), Cd at (0.5000, 0.0000, 0.3620), Cd at (0.5000, 0.0000, 0.8621), Cd at (0.5000, 0.2485, 0.6151) and In at (0.0000, 0.0000, 0.4919).

The formation energy is -0.013 eV/atom.

***

Record 15
Below is a relaxed structure of Na7Cd2In2, with properties calculated at the PBE-GGA level.

The space group is C2/m (No. 12) and the conventional cell measures 8.7096, 9.1973 and 8.0679 Å, with angles of 90.00, 101.62 and 90.00 degrees. The inequivalent atoms are Na at (0.0000, 0.0000, 0.0000), Na at (0.1585, 0.0000, 0.4231), Na at (0.2175, 0.3064, 0.1968), Cd at (0.1008, 0.5000, 0.8534) and In at (0.0000, 0.3293, 0.5000).

The formation energy is -0.073 eV/atom. For the energy relative to the lowest polymorph listed for this composition, the calculation gives 0 meV/atom.

***

Record 16
Below is a relaxed structure of Na3Cd3In2, with properties calculated at the PBE-GGA level.

The space group is C2/m (No. 12) and the conventional cell measures 19.2072, 4.6461 and 4.7128 Å, with angles of 90.00, 103.51 and 90.00 degrees. The inequivalent atoms are Na at (0.0000, 0.0000, 0.0000), Na at (0.1255, 0.0000, 0.6265), Cd at (0.0000, 0.5000, 0.5000), Cd at (0.1292, 0.5000, 0.1304) and In at (0.2483, 0.0000, 0.2487).

The formation energy is -0.076 eV/atom.

***

Record 17
Below is a relaxed structure of NaCd2In, with properties calculated at the PBE-GGA level.

The space group is P4/mmm (No. 123) and the conventional cell measures 4.5805, 4.5805 and 4.6541 Å, with angles of 90.00, 90.00 and 90.00 degrees. The inequivalent atoms are Na at (0.0000, 0.0000, 0.0000), Cd at (0.0000, 0.5000, 0.5000) and In at (0.5000, 0.5000, 0.0000).

The formation energy is -0.064 eV/atom.

***

Record 18
Below is a relaxed structure of Na4CdIn, with properties calculated at the PBE-GGA level.

The space group is Cmcm (No. 63) and the conventional cell measures 6.2072, 19.1588 and 5.5205 Å, with angles of 90.00, 90.00 and 90.00 degrees. The inequivalent atoms are Na at (0.2464, 0.0416, 0.2500), Na at (0.2492, 0.2083, 0.2500), Cd at (0.0000, 0.3790, 0.2500) and In at (0.0000, 0.1286, 0.7500).

The formation energy is -0.050 eV/atom. For the energy relative to the lowest polymorph listed for this composition, the calculation gives 7 meV/atom.